## HfMoSeN2 (PBE)

Data for crystalline HfMoSeN2 at its relaxed geometry.

Lattice parameters (Å, degrees): 3.9273 3.9273 5.0481 90.00 90.00 90.00
Space group P4/mmm (No. 123)
Symmetry-distinct sites (fractional):
Hf 0.0000 0.0000 0.0000 x1
Mo 0.5000 0.5000 0.5000 x1
Se 0.5000 0.5000 0.0000 x1
N 0.0000 0.5000 0.5000 x2

## Properties
* formation energy from raw total energies: 1.27 eV/f.u.
* energy above the lowest structure with this stoichiometry: 0.000 eV/atom

***

## HfMoSeN2 (PBE)

Data for crystalline HfMoSeN2 at its relaxed geometry.

Lattice parameters (Å, degrees): 4.0956 4.0956 5.3907 90.00 90.00 90.00
Space group P4/mmm (No. 123)
Symmetry-distinct sites (fractional):
Hf 0.0000 0.0000 0.0000 x1
Mo 0.5000 0.5000 0.5000 x1
Se 0.0000 0.0000 0.5000 x1
N 0.0000 0.5000 0.0000 x2

## Properties
* formation energy from raw total energies: 3.00 eV/f.u.
* energy above the lowest structure with this stoichiometry: 0.346 eV/atom

***

## Hf2SnMoN (PBE)

Data for crystalline Hf2SnMoN at its relaxed geometry.

Lattice parameters (Å, degrees): 5.2474 5.2474 4.8829 90.00 90.00 90.00
Space group P4/mmm (No. 123)
Symmetry-distinct sites (fractional):
Hf 0.0000 0.5000 0.0000 x2
Sn 0.0000 0.0000 0.0000 x1
Mo 0.0000 0.0000 0.5000 x1
N 0.5000 0.5000 0.5000 x1

## Properties
* formation energy from raw total energies: 12.84 eV/f.u.

***

## Hf2TaMoN (PBE)

Data for crystalline Hf2TaMoN at its relaxed geometry.

Lattice parameters (Å, degrees): 4.4891 4.4891 4.1256 90.00 90.00 90.00
Space group P4/mmm (No. 123)
Symmetry-distinct sites (fractional):
Hf 0.0000 0.5000 0.0000 x2
Ta 0.0000 0.0000 0.5000 x1
Mo 0.5000 0.5000 0.5000 x1
N 0.0000 0.0000 0.0000 x1

## Properties
* formation energy from raw total energies: -2.76 eV/f.u.

***

## HfTe2MoN (PBE)

Data for crystalline HfTe2MoN at its relaxed geometry.

Lattice parameters (Å, degrees): 5.6769 5.6769 3.9386 90.00 90.00 90.00
Space group P4/mmm (No. 123)
Symmetry-distinct sites (fractional):
Hf 0.0000 0.0000 0.0000 x1
Te 0.0000 0.5000 0.0000 x2
Mo 0.5000 0.5000 0.5000 x1
N 0.0000 0.0000 0.5000 x1

## Properties
* formation energy from raw total energies: 2.62 eV/f.u.
* energy above the lowest structure with this stoichiometry: 0.249 eV/atom

***

## HfTeMoN2 (PBE)

Data for crystalline HfTeMoN2 at its relaxed geometry.

Lattice parameters (Å, degrees): 4.0013 4.0013 5.4481 90.00 90.00 90.00
Space group P4/mmm (No. 123)
Symmetry-distinct sites (fractional):
Hf 0.0000 0.0000 0.0000 x1
Te 0.5000 0.5000 0.0000 x1
Mo 0.5000 0.5000 0.5000 x1
N 0.0000 0.5000 0.5000 x2

## Properties
* formation energy from raw total energies: 2.70 eV/f.u.
* energy above the lowest structure with this stoichiometry: 0.000 eV/atom

***

## HfTe2MoN (PBE)

Data for crystalline HfTe2MoN at its relaxed geometry.

Lattice parameters (Å, degrees): 5.4460 5.4460 3.7623 90.00 90.00 90.00
Space group P4/mmm (No. 123)
Symmetry-distinct sites (fractional):
Hf 0.0000 0.0000 0.0000 x1
Te 0.0000 0.5000 0.5000 x2
Mo 0.5000 0.5000 0.5000 x1
N 0.5000 0.5000 0.0000 x1

## Properties
* formation energy from raw total energies: 1.37 eV/f.u.
* energy above the lowest structure with this stoichiometry: 0.000 eV/atom

***

## HfTeMoN2 (PBE)

Data for crystalline HfTeMoN2 at its relaxed geometry.

Lattice parameters (Å, degrees): 4.1336 4.1336 5.8995 90.00 90.00 90.00
Space group P4/mmm (No. 123)
Symmetry-distinct sites (fractional):
Hf 0.0000 0.0000 0.0000 x1
Te 0.0000 0.0000 0.5000 x1
Mo 0.5000 0.5000 0.5000 x1
N 0.0000 0.5000 0.0000 x2

## Properties
* formation energy from raw total energies: 3.70 eV/f.u.
* energy above the lowest structure with this stoichiometry: 0.199 eV/atom

***

## Hf2TiMoN (PBE)

Data for crystalline Hf2TiMoN at its relaxed geometry.

Lattice parameters (Å, degrees): 4.4951 4.4951 3.9918 90.00 90.00 90.00
Space group P4/mmm (No. 123)
Symmetry-distinct sites (fractional):
Hf 0.0000 0.5000 0.0000 x2
Ti 0.0000 0.0000 0.5000 x1
Mo 0.5000 0.5000 0.5000 x1
N 0.0000 0.0000 0.0000 x1

## Properties
* formation energy from raw total energies: -3.55 eV/f.u.

***

## HfZnMoN2 (PBE)

Data for crystalline HfZnMoN2 at its relaxed geometry.

Lattice parameters (Å, degrees): 3.9592 3.9592 5.4915 90.00 90.00 90.00
Space group P4/mmm (No. 123)
Symmetry-distinct sites (fractional):
Hf 0.0000 0.0000 0.0000 x1
Zn 0.5000 0.5000 0.0000 x1
Mo 0.0000 0.0000 0.5000 x1
N 0.0000 0.5000 0.5000 x2

## Properties
* formation energy from raw total energies: 3.97 eV/f.u.

***

## Hf2ZrMoN (PBE)

Data for crystalline Hf2ZrMoN at its relaxed geometry.

Lattice parameters (Å, degrees): 4.3771 4.3771 4.5489 90.00 90.00 90.00
Space group P4/mmm (No. 123)
Symmetry-distinct sites (fractional):
Hf 0.0000 0.5000 0.0000 x2
Zr 0.0000 0.0000 0.5000 x1
Mo 0.5000 0.5000 0.5000 x1
N 0.0000 0.0000 0.0000 x1

## Properties
* formation energy from raw total energies: -3.19 eV/f.u.

***

## Na3HfMo (PBE)

Data for crystalline Na3HfMo at its relaxed geometry.

Lattice parameters (Å, degrees): 5.3900 5.3900 5.3900 90.00 90.00 90.00
Space group Pm-3m (No. 221)
Symmetry-distinct sites (fractional):
Na 0.0000 0.0000 0.5000 x3
Hf 0.0000 0.0000 0.0000 x1
Mo 0.5000 0.5000 0.5000 x1

## Properties
* energy above the lowest structure with this stoichiometry: 0.443 eV/atom

***

## NaHfMo2 (PBE)

Data for crystalline NaHfMo2 at its relaxed geometry.

Lattice parameters (Å, degrees): 3.9281 3.9281 20.0266 90.00 90.00 90.00
Space group I-42d (No. 122)
Symmetry-distinct sites (fractional):
Na 0.0000 0.0000 0.0000 x4
Hf 0.0000 0.0000 0.5000 x4
Mo 0.2173 0.2500 0.6250 x8

## Properties
* energy above the lowest structure with this stoichiometry: 0.104 eV/atom

***

## Na2HfMo2 (PBE)

Data for crystalline Na2HfMo2 at its relaxed geometry.

Lattice parameters (Å, degrees): 3.4278 3.4278 22.7642 90.00 90.00 90.00
Space group I4/mmm (No. 139)
Symmetry-distinct sites (fractional):
Na 0.0000 0.0000 0.1199 x4
Hf 0.0000 0.0000 0.5000 x2
Mo 0.0000 0.5000 0.2500 x4

## Properties
* energy above the lowest structure with this stoichiometry: 0.000 eV/atom

***

## Na3HfMo (PBE)

Data for crystalline Na3HfMo at its relaxed geometry.

Lattice parameters (Å, degrees): 5.2007 5.2007 5.2007 90.00 90.00 90.00
Space group Pm-3m (No. 221)
Symmetry-distinct sites (fractional):
Na 0.0000 0.0000 0.5000 x3
Hf 0.5000 0.5000 0.5000 x1
Mo 0.0000 0.0000 0.0000 x1

## Properties
* energy above the lowest structure with this stoichiometry: 0.000 eV/atom

***

## NaHfMo2 (PBE)

Data for crystalline NaHfMo2 at its relaxed geometry.

Lattice parameters (Å, degrees): 6.6385 6.6385 6.6385 90.00 90.00 90.00
Space group Fm-3m (No. 225)
Symmetry-distinct sites (fractional):
Na 0.0000 0.0000 0.0000 x4
Hf 0.0000 0.0000 0.5000 x4
Mo 0.2500 0.2500 0.2500 x8

## Properties
* energy above the lowest structure with this stoichiometry: 0.000 eV/atom

***

## Na2HfMo2 (PBE)

Data for crystalline Na2HfMo2 at its relaxed geometry.

Lattice parameters (Å, degrees): 8.6804 8.6804 2.6433 90.00 90.00 90.00
Space group P4/mbm (No. 127)
Symmetry-distinct sites (fractional):
Na 0.1060 0.3940 0.0000 x4
Hf 0.0000 0.0000 0.0000 x2
Mo 0.1945 0.6945 0.5000 x4

## Properties
* energy above the lowest structure with this stoichiometry: 0.158 eV/atom

***

## NaHfNiMo2 (PBE)

Data for crystalline NaHfNiMo2 at its relaxed geometry.

Lattice parameters (Å, degrees): 4.8506 4.8506 4.8085 90.00 90.00 90.00
Space group P4/mmm (No. 123)
Symmetry-distinct sites (fractional):
Na 0.0000 0.0000 0.0000 x1
Hf 0.5000 0.5000 0.5000 x1
Ni 0.5000 0.5000 0.0000 x1
Mo 0.0000 0.5000 0.5000 x2

## Properties
* energy: -6.08 eV/atom